No. 1
# HgBi2F11

An optimized crystal structure of HgBi2F11 (PBE, Alexandria).

The calculation puts the density of states at the Fermi level at 0.140 states/eV per atom.

Unit cell a=8.5754 b=8.5754 c=8.5754 alpha=122.86 beta=105.79 gamma=100.68
Sites, in units of the cell vectors:
Hg  0.2500  0.2500  0.0000
Hg  0.7500  0.7500  0.0000
Bi  0.1820  0.6430  0.8250
Bi  0.3180  0.1430  0.4610
Bi  0.6820  0.8570  0.5390
Bi  0.8180  0.3570  0.1750
F  0.0000  0.5000  0.5000
F  0.0418  0.9594  0.2832
F  0.0627  0.3715  0.1632
F  0.1761  0.4594  0.9176
F  0.2083  0.8995  0.8368
F  0.2138  0.3715  0.5853
F  0.2862  0.8715  0.1578
F  0.2917  0.1285  0.6912
F  0.3239  0.2414  0.2832
F  0.4373  0.6005  0.3088
F  0.4582  0.7414  0.9176
F  0.5000  0.0000  0.5000
F  0.5418  0.2586  0.0824
F  0.5627  0.3995  0.6912
F  0.6761  0.7586  0.7168
F  0.7083  0.8715  0.3088
F  0.7138  0.1285  0.8422
F  0.7862  0.6285  0.4147
F  0.7917  0.1005  0.1632
F  0.8239  0.5406  0.0824
F  0.9373  0.6285  0.8368
F  0.9582  0.0406  0.7168

No. 2
# Th3Tl5Se12

An optimized crystal structure of Th3Tl5Se12 (PBE, Alexandria).

The calculation puts the density of states at the Fermi level at 0.418 states/eV per atom.

Unit cell a=14.7270 b=14.7270 c=14.7270 alpha=109.47 beta=109.47 gamma=109.47
Sites, in units of the cell vectors:
Th  0.1250  0.2500  0.3750
Th  0.1250  0.3750  0.7500
Th  0.2500  0.3750  0.1250
Th  0.2500  0.8750  0.6250
Th  0.3750  0.1250  0.2500
Th  0.3750  0.7500  0.1250
Th  0.6250  0.2500  0.8750
Th  0.6250  0.8750  0.7500
Th  0.7500  0.1250  0.3750
Th  0.7500  0.6250  0.8750
Th  0.8750  0.6250  0.2500
Th  0.8750  0.7500  0.6250
Tl  0.0000  0.0000  0.0000
Tl  0.0000  0.0000  0.5000
Tl  0.0000  0.5000  0.0000
Tl  0.0000  0.5000  0.5000
Tl  0.1250  0.7500  0.8750
Tl  0.1250  0.8750  0.2500
Tl  0.2500  0.1250  0.8750
Tl  0.2500  0.6250  0.3750
Tl  0.3750  0.2500  0.6250
Tl  0.3750  0.6250  0.7500
Tl  0.5000  0.0000  0.0000
Tl  0.5000  0.0000  0.5000
Tl  0.5000  0.5000  0.0000
Tl  0.5000  0.5000  0.5000
Tl  0.6250  0.3750  0.2500
Tl  0.6250  0.7500  0.3750
Tl  0.7500  0.3750  0.6250
Tl  0.7500  0.8750  0.1250
Tl  0.8750  0.1250  0.7500
Tl  0.8750  0.2500  0.1250
Se  0.0562  0.2273  0.1407
Se  0.0562  0.3290  0.9156
Se  0.0844  0.6407  0.4134
Se  0.0844  0.9438  0.6710
Se  0.0866  0.7273  0.6710
Se  0.0866  0.8593  0.4156
Se  0.1407  0.0562  0.2273
Se  0.1407  0.5844  0.9134
Se  0.1710  0.2273  0.5866
Se  0.1710  0.4438  0.5844
Se  0.2273  0.1407  0.0562
Se  0.2273  0.5866  0.1710
Se  0.2727  0.3290  0.9134
Se  0.2727  0.4438  0.3593
Se  0.3290  0.9134  0.2727
Se  0.3290  0.9156  0.0562
Se  0.3593  0.2727  0.4438
Se  0.3593  0.5866  0.9156
Se  0.4134  0.0844  0.6407
Se  0.4134  0.8290  0.7727
Se  0.4156  0.0866  0.8593
Se  0.4156  0.8290  0.5562
Se  0.4438  0.3593  0.2727
Se  0.4438  0.5844  0.1710
Se  0.5562  0.4156  0.8290
Se  0.5562  0.6407  0.7273
Se  0.5844  0.1710  0.4438
Se  0.5844  0.9134  0.1407
Se  0.5866  0.1710  0.2273
Se  0.5866  0.9156  0.3593
Se  0.6407  0.4134  0.0844
Se  0.6407  0.7273  0.5562
Se  0.6710  0.0844  0.9438
Se  0.6710  0.0866  0.7273
Se  0.7273  0.5562  0.6407
Se  0.7273  0.6710  0.0866
Se  0.7727  0.4134  0.8290
Se  0.7727  0.8593  0.9438
Se  0.8290  0.5562  0.4156
Se  0.8290  0.7727  0.4134
Se  0.8593  0.4156  0.0866
Se  0.8593  0.9438  0.7727
Se  0.9134  0.1407  0.5844
Se  0.9134  0.2727  0.3290
Se  0.9156  0.0562  0.3290
Se  0.9156  0.3593  0.5866
Se  0.9438  0.6710  0.0844
Se  0.9438  0.7727  0.8593

no.,E_form (uncorrected) (kJ/mol of formula units)
1,-2431.9
2,-1514.0